# 1
Compound: Ga3FeTe
Source: Alexandria via LeMat-Bulk
Functional: GGA-PBE
Structure: relaxed

As for the uncorrected formation energy: 0.140 eV/atom. Its space group is Pm-3m (221). The calculation puts the energy above the most stable polymorph in this dataset at 0 meV per atom. The calculation puts the volume at 21.0 Å³/atom. As for the spin magnetization: 1.689 μB per cell. As for the raw total energy: -3.9969 eV/atom.

Cell: 4.715 4.715 4.715 Å, 90.00 90.00 90.00°
Last column: magnetic moment on the atom in μB.
Fractional coordinates of all 5 atoms:
Te  0.500  0.500  0.500  0.20
Ga  0.000  0.500  0.000  -0.02
Ga  0.000  0.000  0.500  -0.04
Ga  0.500  0.000  0.000  -0.05
Fe  0.000  0.000  0.000  1.52



# 2
Compound: ThGa3Fe3
Source: Alexandria via LeMat-Bulk
Functional: GGA-PBE
Structure: relaxed

Its space group is Pm-3n (223). The calculation puts the volume at 19.5 Å³/atom. As for the spin magnetization: 10.770 μB per cell. The formation energy comes out at 0.400 eV/atom. As for the raw total energy: -5.5839 eV/atom.

Cell: 6.492 6.492 6.492 Å, 90.00 90.00 90.00°
Last column: magnetic moment on the atom in μB.
Fractional coordinates of all 14 atoms:
Fe  0.000  0.500  0.750  1.93
Fe  0.250  0.000  0.500  1.93
Fe  0.750  0.000  0.500  1.93
Ga  0.750  0.500  0.000  -0.09
Fe  0.500  0.250  0.000  1.93
Ga  0.250  0.500  0.000  -0.09
Ga  0.000  0.250  0.500  -0.09
Th  0.000  0.000  0.000  -0.15
Ga  0.000  0.750  0.500  -0.09
Ga  0.500  0.000  0.250  -0.09
Th  0.500  0.500  0.500  -0.15
Fe  0.500  0.750  0.000  1.93
Ga  0.500  0.000  0.750  -0.09
Fe  0.000  0.500  0.250  1.93



# 3
Compound: Th4Ga12Fe
Source: Alexandria via LeMat-Bulk
Functional: GGA-PBE
Structure: relaxed

Its space group is Im-3m (229). The calculation puts the volume at 20.2 Å³/atom. As for the spin magnetization: 1.220 μB per cell. The formation energy comes out at -0.485 eV/atom. As for the raw total energy: -4.8651 eV/atom.

Cell: 7.646 7.646 7.646 Å, 109.47 109.47 109.47°
Last column: magnetic moment on the atom in μB.
Fractional coordinates of all 17 atoms:
Ga  0.500  0.750  0.250  -0.01
Th  0.000  0.000  0.500  -0.02
Th  0.500  0.000  0.000  -0.02
Ga  0.250  0.500  0.750  -0.01
Ga  0.000  0.287  0.287  -0.02
Ga  0.500  0.250  0.750  -0.01
Ga  0.000  0.713  0.713  -0.02
Ga  0.713  0.000  0.713  -0.02
Fe  0.000  0.000  0.000  1.60
Ga  0.750  0.250  0.500  -0.01
Ga  0.250  0.750  0.500  -0.01
Ga  0.750  0.500  0.250  -0.01
Ga  0.287  0.000  0.287  -0.02
Th  0.500  0.500  0.500  -0.02
Ga  0.713  0.713  0.000  -0.02
Ga  0.287  0.287  0.000  -0.02
Th  0.000  0.500  0.000  -0.02



# 4
Compound: ThGaFe2
Source: Alexandria via LeMat-Bulk
Functional: GGA-PBE
Structure: relaxed

Its space group is Fm-3m (225). The calculation puts the volume at 16.1 Å³/atom. As for the spin magnetization: 0.595 μB per cell. The formation energy comes out at -0.006 eV/atom. As for the raw total energy: -6.8486 eV/atom.

Cell: 4.501 4.501 4.501 Å, 60.00 60.00 60.00°
Last column: magnetic moment on the atom in μB.
Fractional coordinates of all 4 atoms:
Fe  0.250  0.250  0.250  0.39
Th  0.000  0.000  0.000  -0.09
Fe  0.750  0.750  0.750  0.39
Ga  0.500  0.500  0.500  -0.02



# 5
Compound: Th2GaFe2
Source: Alexandria via LeMat-Bulk
Functional: GGA-PBE
Structure: relaxed

Its space group is C2/c (15). The calculation puts the volume at 19.6 Å³/atom. As for the spin magnetization: 0.720 μB per cell. The formation energy comes out at -0.234 eV/atom. As for the raw total energy: -7.1922 eV/atom.

Cell: 5.384 5.579 7.834 Å, 105.69 90.00 118.85°
Last column: magnetic moment on the atom in μB.
Fractional coordinates of all 10 atoms:
Ga  0.125  0.000  0.750  -0.01
Th  0.503  0.706  0.852  -0.04
Th  0.203  0.706  0.352  -0.04
Fe  0.984  0.275  0.029  0.24
Fe  0.291  0.275  0.529  0.24
Th  0.497  0.294  0.148  -0.04
Th  0.797  0.294  0.648  -0.04
Fe  0.016  0.725  0.971  0.24
Fe  0.709  0.725  0.471  0.24
Ga  0.875  0.000  0.250  -0.01



# 6
Compound: Th3GaFe
Source: Alexandria via LeMat-Bulk
Functional: GGA-PBE
Structure: relaxed

Its space group is C2/c (15). The calculation puts the energy above the most stable polymorph in this dataset at 33 meV per atom. The calculation puts the volume at 26.7 Å³/atom. As for the spin magnetization: 0.000 μB per cell. The formation energy comes out at -0.109 eV/atom. As for the raw total energy: -6.8589 eV/atom.

Cell: 6.459 9.223 9.223 Å, 100.38 95.50 95.50°
Fractional coordinates of all 20 atoms:
Ga  0.975  0.418  0.257
Th  0.889  0.659  0.067
Th  0.889  0.948  0.796
Th  0.611  0.933  0.341
Th  0.389  0.067  0.659
Th  0.111  0.052  0.204
Fe  0.250  0.070  0.930
Th  0.465  0.532  0.281
Ga  0.025  0.582  0.743
Th  0.611  0.204  0.052
Th  0.111  0.341  0.933
Fe  0.250  0.762  0.238
Ga  0.475  0.257  0.418
Th  0.035  0.719  0.468
Fe  0.750  0.930  0.070
Ga  0.525  0.743  0.582
Th  0.389  0.796  0.948
Th  0.535  0.468  0.719
Th  0.965  0.281  0.532
Fe  0.750  0.238  0.762